VASP calculation (GGA-PBE) on an optimized crystal structure of ZnCoRe2.

The space group is I-4m2 (No. 119) and the conventional cell measures 3.816, 3.816 and 7.450 Å, with angles of 90.00, 90.00 and 90.00 degrees. The asymmetric unit holds Zn at (0.000, 0.000, 0.000), Co at (0.000, 0.500, 0.750), Re at (0.000, 0.000, 0.500) and Re at (0.000, 0.500, 0.250).

The crystal system is tetragonal. The value obtained for the mass density is 15.21 Mg/m³. As for the formation enthalpy at 0 K: 0.20 eV per atom. The magnetization comes out at 0.7 μB/f.u.

=====

VASP calculation (GGA-PBE) on an optimized crystal structure of ZnCoRe2.

The space group is R3m (No. 160, hexagonal axes) and the conventional cell measures 2.7405, 2.7405 and 25.9110 Å, with angles of 90.00, 90.00 and 120.00 degrees. The asymmetric unit holds Zn at (0.0000, 0.0000, 0.0000), Co at (0.0000, 0.0000, 0.2543), Re at (0.0000, 0.0000, 0.5065) and Re at (0.0000, 0.0000, 0.7561).

The crystal system is trigonal. The value obtained for the mass density is 14.68 Mg/m³. As for the formation enthalpy at 0 K: 0.11 eV per atom. The magnetization comes out at 1.6 μB/f.u.

=====

VASP calculation (GGA-PBE) on an optimized crystal structure of ZnCoRe2.

The space group is Cmm2 (No. 35) and the conventional cell measures 2.996, 4.370 and 8.548 Å, with angles of 90.00, 90.00 and 90.00 degrees. The asymmetric unit holds Zn at (0.000, 0.000, 0.000), Co at (0.000, 0.500, 0.766), Re at (0.000, 0.000, 0.531) and Re at (0.000, 0.500, 0.269).

The crystal system is orthorhombic. The value obtained for the mass density is 14.74 Mg/m³. As for the formation enthalpy at 0 K: 0.24 eV per atom. The magnetization comes out at 1.0 μB/f.u.

=====

VASP calculation (GGA-PBE) on an optimized crystal structure of ZrCoRe2.

The space group is Fm-3m (No. 225) and the conventional cell measures 6.268, 6.268 and 6.268 Å, with angles of 90.00, 90.00 and 90.00 degrees. The asymmetric unit holds Zr at (0.000, 0.000, 0.000), Co at (0.000, 0.000, 0.500) and Re at (0.250, 0.250, 0.250).

The crystal system is cubic. The value obtained for the mass density is 14.09 Mg/m³. As for the formation enthalpy at 0 K: 0.38 eV per atom. The value obtained for the energy above the most stable polymorph in this dataset is 148 kJ/mol of formula units. The magnetization comes out at 0.0 μB/f.u.

=====

VASP calculation (GGA-PBE) on an optimized crystal structure of Zr3Co2Re.

The space group is Cmmm (No. 65) and the conventional cell measures 4.596, 13.660 and 3.253 Å, with angles of 90.00, 90.00 and 90.00 degrees. The asymmetric unit holds Zr at (0.000, 0.000, 0.000), Zr at (0.000, 0.332, 0.000), Co at (0.000, 0.167, 0.500) and Re at (0.000, 0.500, 0.500).

The crystal system is orthorhombic. The value obtained for the mass density is 9.39 Mg/m³. As for the formation enthalpy at 0 K: -0.27 eV per atom. The magnetization comes out at 1.2 μB/f.u.

=====

VASP calculation (GGA-PBE) on an optimized crystal structure of ZrCoRe2.

The space group is P2/m (No. 10) and the conventional cell measures 2.736, 4.572 and 5.056 Å, with angles of 90.00, 98.37 and 90.00 degrees. The asymmetric unit holds Zr at (0.000, 0.000, 0.000), Co at (0.500, 0.000, 0.500) and Re at (0.264, 0.500, 0.742).

The crystal system is monoclinic. The value obtained for the mass density is 13.87 Mg/m³. As for the formation enthalpy at 0 K: 0.15 eV per atom. The value obtained for the energy above the most stable polymorph in this dataset is 59 kJ/mol of formula units. The magnetization comes out at 1.9 μB/f.u.

=====

VASP calculation (GGA-PBE) on an optimized crystal structure of ZrCoRe2.

The space group is Pmmm (No. 47) and the conventional cell measures 3.186, 4.311 and 4.534 Å, with angles of 90.00, 90.00 and 90.00 degrees. The asymmetric unit holds Zr at (0.000, 0.000, 0.000), Co at (0.500, 0.500, 0.000), Re at (0.000, 0.500, 0.500) and Re at (0.500, 0.000, 0.500).

The crystal system is orthorhombic. The value obtained for the mass density is 13.94 Mg/m³. As for the formation enthalpy at 0 K: 0.02 eV per atom. The value obtained for the energy above the most stable polymorph in this dataset is 8 kJ/mol of formula units. The magnetization comes out at 1.3 μB/f.u.

=====

VASP calculation (GGA-PBE) on an optimized crystal structure of Zr2Co3Re.

The space group is R-3m (No. 166, hexagonal axes) and the conventional cell measures 5.0336, 5.0336 and 12.1042 Å, with angles of 90.00, 90.00 and 120.00 degrees. The asymmetric unit holds Zr at (0.0000, 0.0000, 0.1262), Co at (0.0000, 0.5000, 0.0000) and Re at (0.0000, 0.0000, 0.5000).

The crystal system is trigonal. The value obtained for the mass density is 10.23 Mg/m³. As for the formation enthalpy at 0 K: -0.30 eV per atom. The magnetization comes out at 0.0 μB/f.u.

=====

VASP calculation (GGA-PBE) on an optimized crystal structure of ZrCoRe2.

The space group is Pm (No. 6) and the conventional cell measures 2.874, 4.309 and 5.139 Å, with angles of 90.00, 100.65 and 90.00 degrees. The asymmetric unit holds Zr at (0.000, 0.000, 0.000), Co at (0.566, 0.500, 0.186), Re at (0.264, 0.500, 0.650) and Re at (0.612, 0.000, 0.487).

The crystal system is monoclinic. The value obtained for the mass density is 13.87 Mg/m³. As for the formation enthalpy at 0 K: 0.05 eV per atom. The value obtained for the energy above the most stable polymorph in this dataset is 22 kJ/mol of formula units. The magnetization comes out at 0.0 μB/f.u.

=====

VASP calculation (GGA-PBE) on an optimized crystal structure of ZrCo2Re.

The space group is I4/mmm (No. 139) and the conventional cell measures 3.930, 3.930 and 7.323 Å, with angles of 90.00, 90.00 and 90.00 degrees. The asymmetric unit holds Zr at (0.000, 0.000, 0.000), Co at (0.000, 0.500, 0.250) and Re at (0.000, 0.000, 0.500).

The crystal system is tetragonal. The value obtained for the mass density is 11.61 Mg/m³. As for the formation enthalpy at 0 K: 0.02 eV per atom. The value obtained for the energy above the most stable polymorph in this dataset is 7 kJ/mol of formula units. The magnetization comes out at 0.0 μB/f.u.

=====

VASP calculation (GGA-PBE) on an optimized crystal structure of ZrCo2Re.

The space group is Imm2 (No. 44) and the conventional cell measures 3.132, 4.295 and 8.704 Å, with angles of 90.00, 90.00 and 90.00 degrees. The asymmetric unit holds Zr at (0.000, 0.000, 0.000), Co at (0.000, 0.000, 0.497), Co at (0.000, 0.500, 0.243) and Re at (0.000, 0.500, 0.764).

The crystal system is orthorhombic. The value obtained for the mass density is 11.21 Mg/m³. As for the formation enthalpy at 0 K: 0.12 eV per atom. The value obtained for the energy above the most stable polymorph in this dataset is 44 kJ/mol of formula units. The magnetization comes out at 2.8 μB/f.u.

=====

VASP calculation (GGA-PBE) on an optimized crystal structure of Zr3CoRe.

The space group is Pm-3m (No. 221) and the conventional cell measures 4.708, 4.708 and 4.708 Å, with angles of 90.00, 90.00 and 90.00 degrees. The asymmetric unit holds Zr at (0.000, 0.000, 0.500), Co at (0.000, 0.000, 0.000) and Re at (0.500, 0.500, 0.500).

The crystal system is cubic. The value obtained for the mass density is 8.25 Mg/m³. As for the formation enthalpy at 0 K: 0.59 eV per atom. The value obtained for the energy above the most stable polymorph in this dataset is 0 kJ/mol of formula units. The magnetization comes out at 0.0 μB/f.u.

=====

VASP calculation (GGA-PBE) on an optimized crystal structure of Zr3CoRe.

The space group is Pm-3m (No. 221) and the conventional cell measures 5.020, 5.020 and 5.020 Å, with angles of 90.00, 90.00 and 90.00 degrees. The asymmetric unit holds Zr at (0.000, 0.000, 0.500), Co at (0.500, 0.500, 0.500) and Re at (0.000, 0.000, 0.000).

The crystal system is cubic. The value obtained for the mass density is 6.81 Mg/m³. As for the formation enthalpy at 0 K: 1.04 eV per atom. The value obtained for the energy above the most stable polymorph in this dataset is 219 kJ/mol of formula units. The magnetization comes out at 0.0 μB/f.u.

=====

VASP calculation (GGA-PBE) on an optimized crystal structure of ZrCoRe2.

The space group is P4/mmm (No. 123) and the conventional cell measures 4.304, 4.304 and 3.354 Å, with angles of 90.00, 90.00 and 90.00 degrees. The asymmetric unit holds Zr at (0.000, 0.000, 0.000), Co at (0.500, 0.500, 0.000) and Re at (0.000, 0.500, 0.500).

The crystal system is tetragonal. The value obtained for the mass density is 13.96 Mg/m³. As for the formation enthalpy at 0 K: 0.23 eV per atom. The value obtained for the energy above the most stable polymorph in this dataset is 92 kJ/mol of formula units. The magnetization comes out at 1.9 μB/f.u.

=====

VASP calculation (GGA-PBE) on an optimized crystal structure of Zr4Co3Re.

The space group is R-3m (No. 166, hexagonal axes) and the conventional cell measures 4.5762, 4.5762 and 22.3063 Å, with angles of 90.00, 90.00 and 120.00 degrees. The asymmetric unit holds Zr at (0.0000, 0.0000, 0.1239), Zr at (0.0000, 0.0000, 0.3740), Co at (0.0000, 0.0000, 0.0000), Co at (0.0000, 0.0000, 0.2502) and Re at (0.0000, 0.0000, 0.5000).

The crystal system is trigonal. The value obtained for the mass density is 8.96 Mg/m³. As for the formation enthalpy at 0 K: -0.28 eV per atom. The magnetization comes out at 2.3 μB/f.u.

=====

VASP calculation (GGA-PBE) on an optimized crystal structure of ZrCo2Re.

The space group is P4/mmm (No. 123) and the conventional cell measures 3.180, 3.180 and 5.764 Å, with angles of 90.00, 90.00 and 90.00 degrees. The asymmetric unit holds Zr at (0.000, 0.000, 0.000), Co at (0.500, 0.500, 0.281) and Re at (0.000, 0.000, 0.500).

The crystal system is tetragonal. The value obtained for the mass density is 11.26 Mg/m³. As for the formation enthalpy at 0 K: 0.08 eV per atom. The value obtained for the energy above the most stable polymorph in this dataset is 28 kJ/mol of formula units. The magnetization comes out at 2.4 μB/f.u.

=====

VASP calculation (GGA-PBE) on an optimized crystal structure of ZrCo2Re.

The space group is R-3m (No. 166, hexagonal axes) and the conventional cell measures 2.7692, 2.7692 and 26.5052 Å, with angles of 90.00, 90.00 and 120.00 degrees. The asymmetric unit holds Zr at (0.0000, 0.0000, 0.0000), Co at (0.0000, 0.0000, 0.2427) and Re at (0.0000, 0.0000, 0.5000).

The crystal system is trigonal. The value obtained for the mass density is 11.19 Mg/m³. As for the formation enthalpy at 0 K: 0.32 eV per atom. The value obtained for the energy above the most stable polymorph in this dataset is 121 kJ/mol of formula units. The magnetization comes out at 2.1 μB/f.u.

=====

VASP calculation (GGA-PBE) on an optimized crystal structure of ZrCo4Re.

The space group is F-43m (No. 216) and the conventional cell measures 6.793, 6.793 and 6.793 Å, with angles of 90.00, 90.00 and 90.00 degrees. The asymmetric unit holds Zr at (0.000, 0.000, 0.000), Co at (0.125, 0.125, 0.625) and Re at (0.250, 0.250, 0.250).

The crystal system is cubic. The value obtained for the mass density is 10.87 Mg/m³. As for the formation enthalpy at 0 K: -0.08 eV per atom. The magnetization comes out at 6.1 μB/f.u.

=====

VASP calculation (GGA-PBE) on an optimized crystal structure of ZrCoRe2.

The space group is I4/mmm (No. 139) and the conventional cell measures 3.823, 3.823 and 8.523 Å, with angles of 90.00, 90.00 and 90.00 degrees. The asymmetric unit holds Zr at (0.000, 0.000, 0.000), Co at (0.000, 0.000, 0.500) and Re at (0.000, 0.500, 0.250).

The crystal system is tetragonal. The value obtained for the mass density is 13.93 Mg/m³. As for the formation enthalpy at 0 K: 0.17 eV per atom. The value obtained for the energy above the most stable polymorph in this dataset is 67 kJ/mol of formula units. The magnetization comes out at 0.0 μB/f.u.

=====

VASP calculation (GGA-PBE) on an optimized crystal structure of ZrCo2Re.

The space group is Fm-3m (No. 225) and the conventional cell measures 6.165, 6.165 and 6.165 Å, with angles of 90.00, 90.00 and 90.00 degrees. The asymmetric unit holds Zr at (0.000, 0.000, 0.000), Co at (0.250, 0.250, 0.250) and Re at (0.000, 0.000, 0.500).

The crystal system is cubic. The value obtained for the mass density is 11.20 Mg/m³. As for the formation enthalpy at 0 K: 0.04 eV per atom. The value obtained for the energy above the most stable polymorph in this dataset is 12 kJ/mol of formula units. The magnetization comes out at 4.2 μB/f.u.